Entry 1:
# GGA-PBE LiHfFeW2, optimized geometry
# Electronic total energy, eV/atom: -8.171
# Space group: P4/mmm, No. 123
# DOS at the Fermi energy, states/eV per cell: 5.4
data_LiHfFeW2
_chemical_formula_sum 'Li1 Hf1 Fe1 W2'
_space_group_name_H-M_alt 'P 1'
_space_group_IT_number 1
_cell_length_a 4.4804
_cell_length_b 3.8028
_cell_length_c 4.4804
_cell_angle_alpha 90.00
_cell_angle_beta 90.00
_cell_angle_gamma 90.00
loop_
_space_group_symop_operation_xyz
'x,y,z'
loop_
_atom_site_label
_atom_site_type_symbol
_atom_site_fract_x
_atom_site_fract_y
_atom_site_fract_z
_atom_site_occupancy
Hf1 Hf 0.5000 0.5000 0.5000 1
Fe1 Fe 0.0000 0.5000 0.0000 1
W1 W 0.0000 0.0000 0.5000 1
W2 W 0.5000 0.0000 0.0000 1
Li1 Li 0.0000 0.0000 0.0000 1

***

Entry 2:
# GGA-PBE LiYHfFe, optimized geometry
# Electronic total energy, eV/atom: -6.628
# Space group: F-43m, No. 216
# DOS at the Fermi energy, states/eV per cell: 3.5
data_LiYHfFe
_chemical_formula_sum 'Li1 Y1 Hf1 Fe1'
_space_group_name_H-M_alt 'P 1'
_space_group_IT_number 1
_cell_length_a 4.6745
_cell_length_b 4.6745
_cell_length_c 4.6745
_cell_angle_alpha 60.00
_cell_angle_beta 60.00
_cell_angle_gamma 60.00
loop_
_space_group_symop_operation_xyz
'x,y,z'
loop_
_atom_site_label
_atom_site_type_symbol
_atom_site_fract_x
_atom_site_fract_y
_atom_site_fract_z
_atom_site_occupancy
Y1 Y 0.7500 0.7500 0.7500 1
Hf1 Hf 0.2500 0.2500 0.2500 1
Fe1 Fe 0.5000 0.5000 0.5000 1
Li1 Li 0.0000 0.0000 0.0000 1

***

Entry 3:
# GGA-PBE LuHfFe2, optimized geometry
# Energy relative to the lowest polymorph listed for this composition, eV per atom: 0.000
# Electronic total energy, eV/atom: -7.977
# Space group: P4/mmm, No. 123
# DOS at the Fermi energy, states/eV per cell: 5.3
data_LuHfFe2
_chemical_formula_sum 'Lu1 Hf1 Fe2'
_space_group_name_H-M_alt 'P 1'
_space_group_IT_number 1
_cell_length_a 3.1838
_cell_length_b 3.1838
_cell_length_c 6.4190
_cell_angle_alpha 90.00
_cell_angle_beta 90.00
_cell_angle_gamma 90.00
loop_
_space_group_symop_operation_xyz
'x,y,z'
loop_
_atom_site_label
_atom_site_type_symbol
_atom_site_fract_x
_atom_site_fract_y
_atom_site_fract_z
_atom_site_occupancy
Lu1 Lu 0.5000 0.5000 0.5000 1
Hf1 Hf 0.5000 0.5000 0.0000 1
Fe1 Fe 0.0000 0.0000 0.7699 1
Fe2 Fe 0.0000 0.0000 0.2301 1

***

Entry 4:
# GGA-PBE LuHfFe4, optimized geometry
# Electronic total energy, eV/atom: -8.314
# Space group: F-43m, No. 216
# DOS at the Fermi energy, states/eV per cell: 3.6
data_LuHfFe4
_chemical_formula_sum 'Lu1 Hf1 Fe4'
_space_group_name_H-M_alt 'P 1'
_space_group_IT_number 1
_cell_length_a 4.9972
_cell_length_b 4.9972
_cell_length_c 4.9972
_cell_angle_alpha 60.00
_cell_angle_beta 60.00
_cell_angle_gamma 60.00
loop_
_space_group_symop_operation_xyz
'x,y,z'
loop_
_atom_site_label
_atom_site_type_symbol
_atom_site_fract_x
_atom_site_fract_y
_atom_site_fract_z
_atom_site_occupancy
Lu1 Lu 0.0000 0.0000 0.0000 1
Hf1 Hf 0.2500 0.2500 0.2500 1
Fe1 Fe 0.6248 0.6248 0.1256 1
Fe2 Fe 0.6248 0.1256 0.6248 1
Fe3 Fe 0.6248 0.6248 0.6248 1
Fe4 Fe 0.1256 0.6248 0.6248 1

***

Entry 5:
# GGA-PBE LuHfFe, optimized geometry
# Electronic total energy, eV/atom: -7.686
# Space group: I4mm, No. 107
# DOS at the Fermi energy, states/eV per cell: 2.3
data_LuHfFe
_chemical_formula_sum 'Lu1 Hf1 Fe1'
_space_group_name_H-M_alt 'P 1'
_space_group_IT_number 1
_cell_length_a 3.2460
_cell_length_b 3.2460
_cell_length_c 6.1552
_cell_angle_alpha 105.29
_cell_angle_beta 105.29
_cell_angle_gamma 90.00
loop_
_space_group_symop_operation_xyz
'x,y,z'
loop_
_atom_site_label
_atom_site_type_symbol
_atom_site_fract_x
_atom_site_fract_y
_atom_site_fract_z
_atom_site_occupancy
Lu1 Lu 0.0242 0.0242 0.0484 1
Hf1 Hf 0.2948 0.2948 0.5896 1
Fe1 Fe 0.6810 0.6810 0.3620 1

***

Entry 6:
# GGA-PBE LuHfFe2, optimized geometry
# Energy relative to the lowest polymorph listed for this composition, eV per atom: 0.028
# Electronic total energy, eV/atom: -7.950
# Space group: Fm-3m, No. 225
# DOS at the Fermi energy, states/eV per cell: 3.9
data_LuHfFe2
_chemical_formula_sum 'Lu1 Hf1 Fe2'
_space_group_name_H-M_alt 'P 1'
_space_group_IT_number 1
_cell_length_a 4.4987
_cell_length_b 4.4987
_cell_length_c 4.4987
_cell_angle_alpha 60.00
_cell_angle_beta 60.00
_cell_angle_gamma 60.00
loop_
_space_group_symop_operation_xyz
'x,y,z'
loop_
_atom_site_label
_atom_site_type_symbol
_atom_site_fract_x
_atom_site_fract_y
_atom_site_fract_z
_atom_site_occupancy
Lu1 Lu 0.0000 0.0000 0.0000 1
Hf1 Hf 0.5000 0.5000 0.5000 1
Fe1 Fe 0.2500 0.2500 0.2500 1
Fe2 Fe 0.7500 0.7500 0.7500 1

***

Entry 7:
# GGA-PBE LuHfFeNi, optimized geometry
# Electronic total energy, eV/atom: -7.446
# Space group: F-43m, No. 216
# DOS at the Fermi energy, states/eV per cell: 2.5
data_LuHfFeNi
_chemical_formula_sum 'Lu1 Hf1 Fe1 Ni1'
_space_group_name_H-M_alt 'P 1'
_space_group_IT_number 1
_cell_length_a 4.5382
_cell_length_b 4.5382
_cell_length_c 4.5382
_cell_angle_alpha 60.00
_cell_angle_beta 60.00
_cell_angle_gamma 60.00
loop_
_space_group_symop_operation_xyz
'x,y,z'
loop_
_atom_site_label
_atom_site_type_symbol
_atom_site_fract_x
_atom_site_fract_y
_atom_site_fract_z
_atom_site_occupancy
Ni1 Ni 0.2500 0.2500 0.2500 1
Lu1 Lu 0.5000 0.5000 0.5000 1
Hf1 Hf 0.0000 0.0000 0.0000 1
Fe1 Fe 0.7500 0.7500 0.7500 1

***

Entry 8:
# GGA-PBE LuHfFeOs, optimized geometry
# Electronic total energy, eV/atom: -8.837
# Space group: F-43m, No. 216
# DOS at the Fermi energy, states/eV per cell: 3.2
data_LuHfFeOs
_chemical_formula_sum 'Lu1 Hf1 Fe1 Os1'
_space_group_name_H-M_alt 'P 1'
_space_group_IT_number 1
_cell_length_a 4.5913
_cell_length_b 4.5913
_cell_length_c 4.5913
_cell_angle_alpha 60.00
_cell_angle_beta 60.00
_cell_angle_gamma 60.00
loop_
_space_group_symop_operation_xyz
'x,y,z'
loop_
_atom_site_label
_atom_site_type_symbol
_atom_site_fract_x
_atom_site_fract_y
_atom_site_fract_z
_atom_site_occupancy
Hf1 Hf 0.0000 0.0000 0.0000 1
Lu1 Lu 0.5000 0.5000 0.5000 1
Os1 Os 0.2500 0.2500 0.2500 1
Fe1 Fe 0.7500 0.7500 0.7500 1

***

Entry 9:
# GGA-PBE LuHfFePt, optimized geometry
# Electronic total energy, eV/atom: -7.853
# Space group: F-43m, No. 216
# DOS at the Fermi energy, states/eV per cell: 2.4
data_LuHfFePt
_chemical_formula_sum 'Lu1 Hf1 Fe1 Pt1'
_space_group_name_H-M_alt 'P 1'
_space_group_IT_number 1
_cell_length_a 4.6688
_cell_length_b 4.6688
_cell_length_c 4.6688
_cell_angle_alpha 60.00
_cell_angle_beta 60.00
_cell_angle_gamma 60.00
loop_
_space_group_symop_operation_xyz
'x,y,z'
loop_
_atom_site_label
_atom_site_type_symbol
_atom_site_fract_x
_atom_site_fract_y
_atom_site_fract_z
_atom_site_occupancy
Lu1 Lu 0.0000 0.0000 0.0000 1
Hf1 Hf 0.5000 0.5000 0.5000 1
Fe1 Fe 0.2500 0.2500 0.2500 1
Pt1 Pt 0.7500 0.7500 0.7500 1

***

Entry 10:
# GGA-PBE LuHfFeRh, optimized geometry
# Electronic total energy, eV/atom: -8.093
# Space group: F-43m, No. 216
# DOS at the Fermi energy, states/eV per cell: 1.5
data_LuHfFeRh
_chemical_formula_sum 'Lu1 Hf1 Fe1 Rh1'
_space_group_name_H-M_alt 'P 1'
_space_group_IT_number 1
_cell_length_a 4.5948
_cell_length_b 4.5948
_cell_length_c 4.5948
_cell_angle_alpha 60.00
_cell_angle_beta 60.00
_cell_angle_gamma 60.00
loop_
_space_group_symop_operation_xyz
'x,y,z'
loop_
_atom_site_label
_atom_site_type_symbol
_atom_site_fract_x
_atom_site_fract_y
_atom_site_fract_z
_atom_site_occupancy
Rh1 Rh 0.0000 0.0000 0.0000 1
Lu1 Lu 0.2500 0.2500 0.2500 1
Hf1 Hf 0.7500 0.7500 0.7500 1
Fe1 Fe 0.5000 0.5000 0.5000 1

***

Entry 11:
# GGA-PBE LuHfZnFe, optimized geometry
# Electronic total energy, eV/atom: -6.190
# Space group: F-43m, No. 216
# DOS at the Fermi energy, states/eV per cell: 1.4
data_LuHfZnFe
_chemical_formula_sum 'Lu1 Hf1 Zn1 Fe1'
_space_group_name_H-M_alt 'P 1'
_space_group_IT_number 1
_cell_length_a 4.6528
_cell_length_b 4.6528
_cell_length_c 4.6528
_cell_angle_alpha 60.00
_cell_angle_beta 60.00
_cell_angle_gamma 60.00
loop_
_space_group_symop_operation_xyz
'x,y,z'
loop_
_atom_site_label
_atom_site_type_symbol
_atom_site_fract_x
_atom_site_fract_y
_atom_site_fract_z
_atom_site_occupancy
Zn1 Zn 0.2500 0.2500 0.2500 1
Lu1 Lu 0.5000 0.5000 0.5000 1
Hf1 Hf 0.0000 0.0000 0.0000 1
Fe1 Fe 0.7500 0.7500 0.7500 1

***

Entry 12:
# GGA-PBE HfMg6Fe, optimized geometry
# Energy relative to the lowest polymorph listed for this composition, eV per atom: 0.046
# Electronic total energy, eV/atom: -3.290
# Space group: Amm2, No. 38
# DOS at the Fermi energy, states/eV per cell: 8.1
data_HfMg6Fe
_chemical_formula_sum 'Hf1 Mg6 Fe1'
_space_group_name_H-M_alt 'P 1'
_space_group_IT_number 1
_cell_length_a 6.3313
_cell_length_b 6.3313
_cell_length_c 4.9535
_cell_angle_alpha 90.00
_cell_angle_beta 90.00
_cell_angle_gamma 124.58
loop_
_space_group_symop_operation_xyz
'x,y,z'
loop_
_atom_site_label
_atom_site_type_symbol
_atom_site_fract_x
_atom_site_fract_y
_atom_site_fract_z
_atom_site_occupancy
Hf1 Hf 0.3221 0.6779 0.5000 1
Mg1 Mg 0.8245 0.6769 0.5000 1
Mg2 Mg 0.3231 0.1755 0.5000 1
Mg3 Mg 0.6699 0.8357 0.0000 1
Mg4 Mg 0.1643 0.3301 0.0000 1
Mg5 Mg 0.6911 0.3089 0.0000 1
Mg6 Mg 0.1690 0.8310 0.0000 1
Fe1 Fe 0.8360 0.1640 0.5000 1

***

Number 1: formation energy 1.076 eV/atom. Number 2: formation energy 0.070 eV/atom. Number 3: formation energy -0.127 eV/atom. Number 4: formation energy -0.260 eV/atom. Number 5: formation energy -0.041 eV/atom. Number 6: formation energy -0.100 eV/atom. Number 7: formation energy -0.267 eV/atom. Number 8: formation energy -0.296 eV/atom. Number 9: formation energy -0.608 eV/atom. Number 10: formation energy -0.521 eV/atom. Number 11: formation energy -0.137 eV/atom. Number 12: formation energy 0.208 eV/atom.